Compound: Ca3GaTe4
Source: Alexandria via LeMat-Bulk
Functional: PBE
Structure: optimized geometry

Formation energy (no corrections) (meV/atom): -1130
Calculated total energy (eV per atom): -3.829
Calculated volume (Å³/cell): 618
N(E_F) (states/eV per cell): 7.76
Space group: Pmn2_1 (31)

a = 6.318 Å, b = 9.234 Å, c = 10.599 Å
α = 90.00°, β = 90.00°, γ = 90.00°
Sites, in units of the cell vectors:
Ca: 0.571 0.840 0.000
Ca: 0.071 0.666 0.245
Ca: 0.571 0.334 0.255
Ca: 0.071 0.160 0.500
Ca: 0.571 0.334 0.745
Ca: 0.071 0.666 0.755
Ga: 0.017 0.173 0.000
Ga: 0.517 0.827 0.500
Te: 0.071 0.856 0.000
Te: 0.572 0.173 0.000
Te: 0.071 0.327 0.241
Te: 0.571 0.673 0.259
Te: 0.072 0.827 0.500
Te: 0.571 0.144 0.500
Te: 0.571 0.673 0.741
Te: 0.071 0.327 0.759